1.
The following is a PBE calculation of a geometry-optimized KZn2Ga structure, from Alexandria.

Cell and atoms, written as extended XYZ:
```
16
Lattice="5.4209 0.0000 0.0000 0.0000 5.4209 0.0000 0.0000 0.0000 16.4918" Properties=species:S:1:pos:R:3 pbc="T T T"
K 0.0000 1.3552 6.1844
K 0.0000 4.0657 10.3074
K 2.7105 1.3552 2.0615
K 2.7105 4.0657 14.4303
Zn 0.0000 0.0000 0.0000
Zn 0.0000 2.7105 0.0000
Zn 1.3552 1.3552 12.3688
Zn 1.3552 4.0657 4.1229
Zn 2.7105 0.0000 8.2459
Zn 2.7105 2.7105 8.2459
Zn 4.0657 1.3552 12.3688
Zn 4.0657 4.0657 4.1229
Ga 0.0000 1.3552 14.4303
Ga 0.0000 4.0657 2.0615
Ga 2.7105 1.3552 10.3074
Ga 2.7105 4.0657 6.1844
```

Its space group is No. 141. The density comes out at 3.28 Mg/m³. The formation energy is 0.0957 eV per atom.

=====

2.
The following is a PBE calculation of a geometry-optimized LiYNF2 structure, from Alexandria.

Cell and atoms, written as extended XYZ:
```
5
Lattice="4.4017 0.0000 0.0000 0.0000 4.4017 0.0000 0.0000 0.0000 4.4968" Properties=species:S:1:pos:R:3 pbc="T T T"
Li 0.0000 0.0000 0.0000
Y 2.2008 2.2008 2.2484
N 2.2008 2.2008 0.0000
F 0.0000 2.2008 2.2484
F 2.2008 0.0000 2.2484
```

The energy above the lowest structure with this stoichiometry comes out at 137 meV per atom. As for the formation energy (no corrections): -9.7 eV/f.u. Its space group is No. 123. The density comes out at 2.82 Mg/m³.

=====

3.
The following is a PBE calculation of a geometry-optimized NiSe2Br structure, from Alexandria.

Cell and atoms, written as extended XYZ:
```
4
Lattice="2.9256 0.0000 0.0000 0.0000 2.9256 0.0000 0.0000 0.0000 11.7911" Properties=species:S:1:pos:R:3 pbc="T T T"
Ni 0.0000 0.0000 0.0000
Se 0.0000 0.0000 4.6665
Se 1.4628 1.4628 1.0764
Br 1.4628 1.4628 8.8494
```

The energy above the lowest structure with this stoichiometry comes out at 470 meV per atom. As for the formation energy (no corrections): 0.9 eV/f.u. Its space group is No. 99. The density comes out at 4.88 Mg/m³.

=====

4.
The following is a PBE calculation of a geometry-optimized Zr2TiTl structure, from Alexandria.

Cell and atoms, written as extended XYZ:
```
4
Lattice="3.6555 0.0000 0.0000 0.0000 3.6555 0.0000 0.0000 0.0000 6.4702" Properties=species:S:1:pos:R:3 pbc="T T T"
Zr 0.0000 0.0000 1.5213
Zr 0.0000 0.0000 4.9488
Ti 1.8278 1.8278 0.0000
Tl 1.8278 1.8278 3.2351
```

The energy above the lowest structure with this stoichiometry comes out at 34 meV per atom. Its space group is No. 123. The density comes out at 8.35 Mg/m³. The formation energy is -0.0125 eV per atom.

=====

5.
The following is a PBE calculation of a geometry-optimized Nd3ErAg2 structure, from Alexandria.

Cell and atoms, written as extended XYZ:
```
12
Lattice="5.2483 0.0000 0.0000 0.0000 9.4248 0.0000 0.0000 0.0000 6.9751" Properties=species:S:1:pos:R:3 pbc="T T T"
Nd 0.0000 0.5690 0.0000
Nd 0.0000 3.1673 2.4091
Nd 0.0000 6.2575 5.8966
Nd 0.0000 8.8558 3.4876
Nd 2.6242 1.6171 4.6546
Nd 2.6242 7.8077 1.1670
Er 2.6242 4.1598 0.1227
Er 2.6242 5.2650 3.6103
Ag 0.0000 3.2916 5.4697
Ag 0.0000 6.1332 1.9822
Ag 2.6242 1.4964 1.6116
Ag 2.6242 7.9284 5.0991
```

Its space group is No. 26. The density comes out at 7.85 Mg/m³. The formation energy is -0.1559 eV per atom.

=====

6.
The following is a PBE calculation of a geometry-optimized Cu2AsRh structure, from Alexandria.

Cell and atoms, written as extended XYZ:
```
16
Lattice="6.0267 0.0000 0.0000 0.0000 6.0267 0.0000 0.0000 0.0000 6.0267" Properties=species:S:1:pos:R:3 pbc="T T T"
Cu 0.0000 0.0000 0.0000
Cu 0.0000 3.0133 3.0133
Cu 1.5067 1.5067 1.5067
Cu 1.5067 4.5200 4.5200
Cu 3.0133 0.0000 3.0133
Cu 3.0133 3.0133 0.0000
Cu 4.5200 1.5067 4.5200
Cu 4.5200 4.5200 1.5067
As 1.5067 1.5067 4.5200
As 1.5067 4.5200 1.5067
As 4.5200 1.5067 1.5067
As 4.5200 4.5200 4.5200
Rh 0.0000 0.0000 3.0133
Rh 0.0000 3.0133 0.0000
Rh 3.0133 0.0000 0.0000
Rh 3.0133 3.0133 3.0133
```

Its space group is No. 216. The density comes out at 9.25 Mg/m³. The formation energy is -0.0147 eV per atom.

=====

7.
The following is a PBE calculation of a geometry-optimized YHo5Tl2 structure, from Alexandria.

Cell and atoms, written as extended XYZ:
```
16
Lattice="3.6041 0.0000 0.0000 0.0000 10.4470 0.0000 0.0000 0.0000 12.6237" Properties=species:S:1:pos:R:3 pbc="T T T"
Y 0.0000 0.0000 0.0000
Y 1.8021 5.2235 6.3119
Ho 0.0000 2.3775 4.6255
Ho 0.0000 2.3775 7.9982
Ho 0.0000 5.2235 0.0000
Ho 0.0000 8.0695 4.6255
Ho 0.0000 8.0695 7.9982
Ho 1.8021 0.0000 6.3119
Ho 1.8021 2.8460 1.6863
Ho 1.8021 2.8460 10.9374
Ho 1.8021 7.6010 1.6863
Ho 1.8021 7.6010 10.9374
Tl 0.0000 5.2235 3.3038
Tl 0.0000 5.2235 9.3199
Tl 1.8021 0.0000 3.0081
Tl 1.8021 0.0000 9.6156
```

Its space group is No. 71. The density comes out at 9.24 Mg/m³. The formation energy is -0.1149 eV per atom.

=====

8.
The following is a PBE calculation of a geometry-optimized LaPmNdMg structure, from Alexandria.

Cell and atoms, written as extended XYZ:
```
16
Lattice="8.0632 0.0000 0.0000 0.0000 8.0632 0.0000 0.0000 0.0000 8.0632" Properties=species:S:1:pos:R:3 pbc="T T T"
La 0.0000 0.0000 0.0000
La 0.0000 4.0316 4.0316
La 4.0316 0.0000 4.0316
La 4.0316 4.0316 0.0000
Pm 2.0158 2.0158 6.0474
Pm 2.0158 6.0474 2.0158
Pm 6.0474 2.0158 2.0158
Pm 6.0474 6.0474 6.0474
Nd 0.0000 0.0000 4.0316
Nd 0.0000 4.0316 0.0000
Nd 4.0316 0.0000 0.0000
Nd 4.0316 4.0316 4.0316
Mg 2.0158 2.0158 2.0158
Mg 2.0158 6.0474 6.0474
Mg 6.0474 2.0158 6.0474
Mg 6.0474 6.0474 2.0158
```

The energy above the lowest structure with this stoichiometry comes out at 80 meV per atom. Its space group is No. 216. The density comes out at 5.73 Mg/m³. The formation energy is 0.0386 eV per atom.

=====

9.
The following is a PBE calculation of a geometry-optimized MgZn2Sn structure, from Alexandria.

Cell and atoms, written as extended XYZ:
```
16
Lattice="4.2659 0.0000 0.0000 0.0000 4.2659 0.0000 0.0000 0.0000 19.0735" Properties=species:S:1:pos:R:3 pbc="T T T"
Mg 0.0000 0.0000 0.0000
Mg 0.0000 2.1329 4.7684
Mg 2.1329 0.0000 14.3051
Mg 2.1329 2.1329 9.5368
Zn 0.9202 1.0665 2.3842
Zn 1.0665 3.0531 7.1526
Zn 1.0665 3.3457 16.6893
Zn 1.2127 1.0665 11.9210
Zn 3.0531 3.1994 11.9210
Zn 3.1994 0.9202 16.6893
Zn 3.1994 1.2127 7.1526
Zn 3.3457 3.1994 2.3842
Sn 0.0000 0.0000 9.5368
Sn 0.0000 2.1329 14.3051
Sn 2.1329 0.0000 4.7684
Sn 2.1329 2.1329 0.0000
```

Its space group is No. 122. The density comes out at 5.24 Mg/m³. The formation energy is 0.0956 eV per atom.

=====

10.
The following is a PBE calculation of a geometry-optimized SrP2F structure, from Alexandria.

Cell and atoms, written as extended XYZ:
```
16
Lattice="6.8700 0.0000 0.0000 0.0000 6.8700 0.0000 0.0000 0.0000 6.8700" Properties=species:S:1:pos:R:3 pbc="T T T"
Sr 0.0000 0.0000 0.0000
Sr 0.0000 3.4350 3.4350
Sr 3.4350 0.0000 3.4350
Sr 3.4350 3.4350 0.0000
P 1.7175 1.7175 1.7175
P 1.7175 1.7175 5.1525
P 1.7175 5.1525 1.7175
P 1.7175 5.1525 5.1525
P 5.1525 1.7175 1.7175
P 5.1525 1.7175 5.1525
P 5.1525 5.1525 1.7175
P 5.1525 5.1525 5.1525
F 0.0000 0.0000 3.4350
F 0.0000 3.4350 0.0000
F 3.4350 0.0000 0.0000
F 3.4350 3.4350 3.4350
```

The energy above the lowest structure with this stoichiometry comes out at 1383 meV per atom. As for the formation energy (no corrections): -0.5 eV/f.u. Its space group is No. 225. The density comes out at 3.45 Mg/m³.

=====

11.
The following is a PBE calculation of a geometry-optimized BaSr2CdIr structure, from Alexandria.

Cell and atoms, written as extended XYZ:
```
5
Lattice="5.8415 0.0000 0.0000 0.0000 5.8415 0.0000 0.0000 0.0000 6.0663" Properties=species:S:1:pos:R:3 pbc="T T T"
Ba 0.0000 0.0000 0.0000
Sr 0.0000 2.9208 3.0331
Sr 2.9208 0.0000 3.0331
Cd 2.9208 2.9208 0.0000
Ir 0.0000 0.0000 3.0331
```

The energy above the lowest structure with this stoichiometry comes out at 0 meV per atom. Its space group is No. 123. The density comes out at 4.95 Mg/m³. The formation energy is -0.1381 eV per atom.

=====

12.
The following is a PBE calculation of a geometry-optimized TaPRu2Pb structure, from Alexandria.

Cell and atoms, written as extended XYZ:
```
5
Lattice="4.8336 0.0000 0.0000 0.0000 4.8336 0.0000 0.0000 0.0000 4.7776" Properties=species:S:1:pos:R:3 pbc="T T T"
Ta 0.0000 0.0000 0.0000
P 0.0000 0.0000 2.3888
Ru 0.0000 2.4168 0.0000
Ru 2.4168 0.0000 0.0000
Pb 2.4168 2.4168 2.3888
```

Its space group is No. 123. The density comes out at 9.24 Mg/m³. The formation energy is 1.0096 eV per atom.